The following is a PBE calculation of a geometry-optimized NaAu3N structure, from the Alexandria database.

Calculated values
Symmetry = Pm-3m, No. 221
Magnetic moment = 0.000 μB per atom
Raw total energy = -3.442 eV/atom
Energy above the lowest structure with this stoichiometry = 0 meV/atom

Cell: 4.515 4.515 4.515 Å, 90.00 90.00 90.00°
Fractional coordinates of all 5 atoms:
Na: 0.500 0.500 0.500
Au: 0.000 0.500 0.000
Au: 0.000 0.000 0.500
Au: 0.500 0.000 0.000
N: 0.000 0.000 0.000